Here is crystalline Ba2ZrMnSe5 at its relaxed geometry from the Alexandria database. Energies are from PBE.

## Properties
Uncorrected energy: -5.79 eV/atom
Calculated density: 5.2 g/cm3
E_form (uncorrected): -33.64 kcal/mol of atoms
DOS(E_F): 0.0663 states/eV/atom

Structure (POSCAR):
```
Ba2ZrMnSe5
1.0
2.107 -9.441 0.000
2.107 9.441 0.000
0.000 0.000 13.212
Ba Zr Mn Se
4 2 2 10
Direct
0.114 0.886 0.500 Ba
0.124 0.876 0.127 Ba
0.876 0.124 0.627 Ba
0.886 0.114 0.000 Ba
0.206 0.794 0.833 Zr
0.794 0.206 0.333 Zr
0.432 0.568 0.256 Mn
0.568 0.432 0.756 Mn
0.062 0.938 0.861 Se
0.289 0.711 0.467 Se
0.304 0.696 0.189 Se
0.346 0.654 0.817 Se
0.497 0.503 0.096 Se
0.503 0.497 0.596 Se
0.654 0.346 0.317 Se
0.696 0.304 0.689 Se
0.711 0.289 0.967 Se
0.938 0.062 0.361 Se
```

***

Here is crystalline BaZrMnSe4 at its relaxed geometry from the Alexandria database. Energies are from PBE.

## Properties
Uncorrected energy: -5.98 eV/atom
Calculated density: 5.1 g/cm3
E_form (uncorrected): -27.26 kcal/mol of atoms
DOS(E_F): 0.0541 states/eV/atom

Structure (POSCAR):
```
BaZrMnSe4
1.0
6.571 0.000 0.000
0.000 7.075 0.000
-2.854 0.000 8.321
Ba Zr Mn Se
2 2 2 8
Direct
0.228 0.250 0.049 Ba
0.772 0.750 0.951 Ba
0.212 0.250 0.551 Zr
0.788 0.750 0.449 Zr
0.236 0.750 0.332 Mn
0.764 0.250 0.668 Mn
0.031 0.513 0.703 Se
0.031 0.987 0.703 Se
0.446 0.750 0.151 Se
0.496 0.750 0.595 Se
0.504 0.250 0.405 Se
0.554 0.250 0.849 Se
0.969 0.013 0.297 Se
0.969 0.487 0.297 Se
```

***

Here is crystalline Ba2ZrMnSe6 at its relaxed geometry from the Alexandria database. Energies are from PBE.

## Properties
Uncorrected energy: -5.52 eV/atom
Calculated density: 5.5 g/cm3
E_form (uncorrected): -29.35 kcal/mol of atoms
DOS(E_F): 0.5303 states/eV/atom

Structure (POSCAR):
```
Ba2ZrMnSe6
1.0
7.190 0.000 0.000
0.000 7.304 0.000
-7.165 0.000 10.324
Ba Zr Mn Se
4 2 2 12
Direct
0.232 0.060 0.249 Ba
0.232 0.440 0.749 Ba
0.768 0.560 0.251 Ba
0.768 0.940 0.751 Ba
0.500 0.000 0.000 Zr
0.500 0.500 0.500 Zr
0.000 0.000 0.500 Mn
0.000 0.500 0.000 Mn
0.168 0.213 0.970 Se
0.168 0.287 0.470 Se
0.255 0.700 0.969 Se
0.255 0.800 0.469 Se
0.305 0.509 0.243 Se
0.305 0.991 0.743 Se
0.695 0.009 0.257 Se
0.695 0.491 0.757 Se
0.745 0.200 0.531 Se
0.745 0.300 0.031 Se
0.832 0.713 0.530 Se
0.832 0.787 0.030 Se
```

***

Here is crystalline BaMnSi2 at its relaxed geometry from the Alexandria database. Energies are from PBE.

## Properties
Uncorrected energy: -5.18 eV/atom
Calculated density: 3.9 g/cm3
E_form (uncorrected): 6.94 kcal/mol of atoms
DOS(E_F): 0.6275 states/eV/atom

Structure (POSCAR):
```
BaMnSi2
1.0
-2.118 3.230 3.830
2.118 -3.230 3.830
2.118 3.230 -3.830
Ba Mn Si
1 1 2
Direct
0.000 0.000 0.000 Ba
0.637 0.137 0.500 Mn
0.327 0.827 0.500 Si
0.494 0.494 0.000 Si
```

***

Here is crystalline BaMnSi4 at its relaxed geometry from the Alexandria database. Energies are from PBE.

## Properties
Uncorrected energy: -5.11 eV/atom
Calculated density: 4.3 g/cm3
E_form (uncorrected): 8.08 kcal/mol of atoms
DOS(E_F): 0.6343 states/eV/atom

Structure (POSCAR):
```
BaMnSi4
1.0
0.000 3.886 3.886
3.886 0.000 3.886
3.886 3.886 0.000
Ba Mn Si
1 1 4
Direct
0.000 0.000 0.000 Ba
0.750 0.750 0.750 Mn
0.381 0.381 0.381 Si
0.381 0.381 0.857 Si
0.381 0.857 0.381 Si
0.857 0.381 0.381 Si
```

***

Here is crystalline BaMnSi2 at its relaxed geometry from the Alexandria database. Energies are from PBE.

## Properties
Uncorrected energy: -5.64 eV/atom
Calculated density: 4.0 g/cm3
E_form (uncorrected): -3.55 kcal/mol of atoms
DOS(E_F): 0.5025 states/eV/atom

Structure (POSCAR):
```
BaMnSi2
1.0
-2.712 2.712 6.995
2.712 -2.712 6.995
2.712 2.712 -6.995
Ba Mn Si
2 2 4
Direct
0.375 0.625 0.750 Ba
0.625 0.375 0.250 Ba
0.125 0.875 0.250 Mn
0.875 0.125 0.750 Mn
0.000 0.000 0.000 Si
0.000 0.000 0.500 Si
0.000 0.500 0.000 Si
0.500 0.000 0.500 Si
```